[1]
The following is a DFT calculation (PBE) of Ce2NdSm after structural relaxation.

Values from the calculation:
As for the size of the total moment: 0.3582 μB/atom. The total energy comes out at -5.224 eV/atom.

Geometry as POSCAR:
```
Ce2NdSm
1.0
3.540 0.000 0.000
-1.770 3.066 0.000
0.000 0.000 35.093
Ce Nd Sm
6 3 3
Cartesian
0.000 0.000 0.000
0.000 0.000 5.803
0.000 2.044 23.395
0.000 2.044 29.198
1.770 1.022 11.698
1.770 1.022 17.501
0.000 0.000 20.393
0.000 2.044 8.696
1.770 1.022 32.091
0.000 0.000 26.327
0.000 2.044 14.630
1.770 1.022 2.932
```



[2]
The following is a DFT calculation (PBE) of CeNdSm3 after structural relaxation.

Values from the calculation:
As for the size of the total moment: 0.1197 μB/atom. The total energy comes out at -4.764 eV/atom.

Geometry as POSCAR:
```
CeNdSm3
1.0
4.879 -10.792 0.000
4.879 10.792 0.000
-3.257 0.000 6.445
Ce Nd Sm
4 4 12
Cartesian
1.013 5.671 5.264
5.487 5.671 1.181
1.013 -5.671 5.264
5.487 -5.671 1.181
-0.644 0.000 4.484
3.414 0.000 1.376
3.087 0.000 5.069
7.144 0.000 1.960
4.879 9.057 0.000
3.092 3.078 0.011
3.250 6.874 3.222
1.494 2.522 3.245
1.494 -2.522 3.245
3.092 -3.078 0.011
3.409 3.078 6.434
5.006 2.522 3.200
5.006 -2.522 3.200
3.250 -6.874 3.222
3.409 -3.078 6.434
4.879 -9.057 0.000
```



[3]
The following is a DFT calculation (PBE) of CeNd5Sm6 after structural relaxation.

Values from the calculation:
As for the size of the total moment: 0.0803 μB/atom. The total energy comes out at -4.806 eV/atom.

Geometry as POSCAR:
```
CeNd5Sm6
1.0
-2.577 5.151 7.734
2.577 -5.151 7.734
2.577 5.151 -7.734
Ce Nd Sm
1 5 6
Cartesian
0.000 0.000 0.000
2.577 0.000 2.548
0.000 0.000 5.154
0.000 5.151 0.000
0.000 0.000 10.314
0.000 5.151 5.187
2.577 -2.595 5.178
2.577 2.540 0.000
0.000 2.556 2.556
2.577 2.595 5.178
0.000 2.611 7.734
0.000 7.746 2.556
```



[4]
The following is a DFT calculation (PBE) of CeNdSm2 after structural relaxation.

Values from the calculation:
As for the size of the total moment: 0.2378 μB/atom. The total energy comes out at -4.967 eV/atom.

Geometry as POSCAR:
```
CeNdSm2
1.0
3.610 0.000 0.000
-1.805 3.126 0.000
0.000 0.000 35.372
Ce Nd Sm
3 3 6
Cartesian
0.000 0.000 0.000
0.000 2.084 23.582
1.805 1.042 11.791
0.000 0.000 5.886
0.000 2.084 29.467
1.805 1.042 17.677
0.000 0.000 20.663
0.000 0.000 26.470
0.000 2.084 8.872
0.000 2.084 14.680
1.805 1.042 2.889
1.805 1.042 32.454
```



[5]
The following is a DFT calculation (PBE) of Ce2NdSm after structural relaxation.

Values from the calculation:
As for the size of the total moment: 0.3991 μB/atom. The total energy comes out at -5.217 eV/atom.

Geometry as POSCAR:
```
Ce2NdSm
1.0
3.503 0.000 0.000
0.000 3.503 0.000
0.000 0.000 10.319
Ce Nd Sm
2 1 1
Cartesian
0.000 0.000 2.566
0.000 0.000 7.753
1.752 1.752 5.159
1.752 1.752 0.000
```



[6]
The following is a DFT calculation (PBE) of CeNd3Sm after structural relaxation.

Values from the calculation:
As for the size of the total moment: 0.1841 μB/atom. The total energy comes out at -4.828 eV/atom.

Geometry as POSCAR:
```
CeNd3Sm
1.0
4.192 -4.823 0.000
4.192 4.823 0.000
-3.830 0.000 8.434
Ce Nd Sm
2 6 2
Cartesian
-0.562 0.000 3.902
5.114 0.000 4.531
2.417 1.749 2.549
-0.927 0.000 7.385
2.136 1.749 5.884
2.417 -1.749 2.549
5.479 0.000 1.049
2.136 -1.749 5.884
4.192 3.174 0.000
4.192 -3.174 0.000
```